DFT (GGA-PBE) results for a relaxed structure of PmHo7Tm2.

## Properties
The value obtained for the relative energy among the computed polymorphs is 0.683 eV/atom. The symmetry is No. 65. Its crystal system is orthorhombic. The calculation puts the formation energy at 0.70 eV per atom. The magnetic moment is 0.0 Bohr magnetons per cell. As for the density of states at the Fermi level: 1.46 states/eV/atom.

Cell: 5.5842 9.0909 9.0909 Å, 122.73 90.00 90.00°
Closest atoms and distances in Å follow each position.
Atoms (fractional coordinates):
Pm1 0.0000 0.0000 0.0000  10 Ho 3.46-3.68
Ho1 0.0000 0.7832 0.2168  2 Tm 3.07
Ho2 0.0000 0.2168 0.7832  2 Tm 3.07
Ho3 0.5000 0.0614 0.2924  2 Ho 3.08-3.36, 2 Tm 3.15-3.27
Ho4 0.5000 0.9386 0.7076  2 Ho 3.08-3.36, 2 Tm 3.15-3.27
Ho5 0.5000 0.2924 0.0615  2 Ho 3.08-3.36, 2 Tm 3.15-3.27
Ho6 0.5000 0.7076 0.9385  2 Ho 3.08-3.36, 2 Tm 3.15-3.27
Ho7 0.5000 0.5000 0.5000  2 Tm 3.25, 4 Ho 3.36
Tm1 0.5000 0.7035 0.2965  7 Ho 3.07-3.27
Tm2 0.5000 0.2965 0.7035  7 Ho 3.07-3.27